DFT (PBE) results for SrLiNb after structural relaxation.

## Properties
- Symmetry: Cm
- Distance to the lowest polymorph of the same formula: 0.000 kcal/mol of atoms
- E_form: 315 meV per atom
- Magnetic moment: 0.0 μB per formula unit

a b c (Å): 13.837 3.601 5.091
angles (deg): 134.85 90.02 74.79
Fractional positions:
Sr  0.818  0.989  0.638
Sr  0.542  0.542  0.416
Nb  0.008  0.611  0.949
Nb  0.088  0.451  0.370
Li  0.341  0.945  0.118
Li  0.227  0.172  0.731

***

DFT (PBE) results for SrLiNb3 after structural relaxation.

## Properties
- Symmetry: Pm-3m
- Distance to the lowest polymorph of the same formula: 26.490 kcal/mol of atoms
- E_form: 2487 meV per atom
- Magnetic moment: 0.0 μB per formula unit

a b c (Å): 4.930 4.930 4.930
angles (deg): 90.00 90.00 90.00
Fractional positions:
Sr  0.000  0.000  0.000
Nb  0.000  0.500  0.000
Nb  0.000  0.000  0.500
Nb  0.500  0.000  0.000
Li  0.500  0.500  0.500

***

DFT (PBE) results for SrLiNb after structural relaxation.

## Properties
- Symmetry: Pm
- Distance to the lowest polymorph of the same formula: 4.257 kcal/mol of atoms
- E_form: 500 meV per atom
- Magnetic moment: 0.0 μB per formula unit

a b c (Å): 5.770 3.465 8.390
angles (deg): 90.02 103.63 90.02
Fractional positions:
Sr  0.152  0.874  0.059
Sr  0.551  0.875  0.761
Nb  0.769  0.874  0.376
Nb  0.685  0.374  0.150
Li  0.001  0.374  0.647
Li  0.281  0.374  0.394

***

DFT (PBE) results for SrLiNb after structural relaxation.

## Properties
- Symmetry: P1
- Distance to the lowest polymorph of the same formula: 0.873 kcal/mol of atoms
- E_form: 353 meV per atom
- Magnetic moment: 0.0 μB per formula unit

a b c (Å): 12.203 3.650 3.781
angles (deg): 90.00 90.12 98.48
Fractional positions:
Sr  0.820  0.580  0.286
Sr  0.532  0.937  0.784
Nb  0.029  0.183  0.787
Nb  0.095  0.715  0.288
Li  0.256  0.788  0.789
Li  0.292  0.309  0.288

***

DFT (PBE) results for SrLiNb after structural relaxation.

## Properties
- Symmetry: Cmcm
- Distance to the lowest polymorph of the same formula: 4.596 kcal/mol of atoms
- E_form: 515 meV per atom
- Magnetic moment: 0.0 μB per formula unit

a b c (Å): 4.771 5.659 11.905
angles (deg): 90.00 90.00 90.00
Fractional positions:
Sr  0.750  0.250  0.500
Sr  0.750  0.750  0.000
Sr  0.250  0.750  0.500
Sr  0.250  0.250  0.000
Nb  0.251  0.250  0.285
Nb  0.249  0.750  0.785
Nb  0.749  0.750  0.715
Nb  0.751  0.250  0.215
Li  0.750  0.250  0.801
Li  0.750  0.750  0.301
Li  0.250  0.750  0.199
Li  0.250  0.250  0.699

***

DFT (PBE) results for SrLiNb after structural relaxation.

## Properties
- Symmetry: P4mm
- Distance to the lowest polymorph of the same formula: 0.255 kcal/mol of atoms
- E_form: 326 meV per atom
- Magnetic moment: 0.0 μB per formula unit

a b c (Å): 3.598 3.598 13.032
angles (deg): 90.00 90.00 90.00
Fractional positions:
Sr  0.500  0.500  0.865
Sr  0.500  0.500  0.270
Nb  0.500  0.500  0.538
Nb  0.000  0.000  0.456
Li  0.000  0.000  0.063
Li  0.000  0.000  0.671

***

DFT (PBE) results for SrLiNb2 after structural relaxation.

## Properties
- Symmetry: Fm-3m
- Distance to the lowest polymorph of the same formula: 3.530 kcal/mol of atoms
- E_form: 1284 meV per atom
- Magnetic moment: 0.0 μB per formula unit

a b c (Å): 4.948 4.948 4.948
angles (deg): 60.00 60.00 60.00
Fractional positions:
Sr  0.500  0.500  0.500
Nb  0.250  0.250  0.250
Nb  0.750  0.750  0.750
Li  0.000  0.000  0.000

***

DFT (PBE) results for SrLiNb after structural relaxation.

## Properties
- Symmetry: C2/m
- Distance to the lowest polymorph of the same formula: 3.187 kcal/mol of atoms
- E_form: 454 meV per atom
- Magnetic moment: 0.0 μB per formula unit

a b c (Å): 6.783 3.448 7.904
angles (deg): 90.01 67.44 75.27
Fractional positions:
Sr  0.009  0.180  0.148
Sr  0.009  0.180  0.648
Nb  0.413  0.478  0.272
Nb  0.605  0.882  0.023
Li  0.420  0.475  0.803
Li  0.598  0.885  0.493

***

DFT (PBE) results for SrLi2Nb after structural relaxation.

## Properties
- Symmetry: I-42d
- Distance to the lowest polymorph of the same formula: 3.418 kcal/mol of atoms
- E_form: 884 meV per atom
- Magnetic moment: 3.8 μB per formula unit

a b c (Å): 8.225 8.225 6.655
angles (deg): 51.83 51.83 90.00
Last column: magnetic moment on the atom in μB.
Fractional positions:
Sr  0.500  0.500  0.000  0.09
Sr  0.250  0.750  0.500  0.09
Nb  0.000  0.000  0.000  2.59
Nb  0.750  0.250  0.500  2.59
Li  0.658  0.125  0.250  0.04
Li  0.092  0.625  0.250  0.04
Li  0.375  0.342  0.750  0.04
Li  0.875  0.908  0.750  0.04

***

DFT (PBE) results for SrLiNb after structural relaxation.

## Properties
- Symmetry: P6_3/mmc
- Distance to the lowest polymorph of the same formula: 17.223 kcal/mol of atoms
- E_form: 1062 meV per atom
- Magnetic moment: 3.7 μB per formula unit

a b c (Å): 9.176 6.991 5.303
angles (deg): 90.00 90.00 90.00
Last column: magnetic moment on the atom in μB.
Fractional positions:
Sr  0.000  0.000  0.000  0.12
Sr  0.500  0.500  0.500  0.12
Sr  0.500  0.000  0.500  0.12
Sr  0.000  0.500  0.000  0.12
Nb  0.334  0.250  0.000  2.46
Nb  0.166  0.750  0.500  2.45
Nb  0.666  0.750  0.000  2.46
Nb  0.834  0.250  0.500  2.46
Li  0.667  0.250  0.000  0.00
Li  0.833  0.750  0.500  0.00
Li  0.333  0.750  0.000  0.00
Li  0.167  0.250  0.500  0.00

***

DFT (PBE) results for SrLiNb after structural relaxation.

## Properties
- Symmetry: P6_3/mmc
- Distance to the lowest polymorph of the same formula: 44.571 kcal/mol of atoms
- E_form: 2248 meV per atom
- Magnetic moment: 3.3 μB per formula unit

a b c (Å): 4.637 4.637 12.077
angles (deg): 90.00 90.00 120.00
Last column: magnetic moment on the atom in μB.
Fractional positions:
Sr  0.000  0.000  0.250  0.09
Sr  0.000  0.000  0.750  0.09
Nb  0.000  0.000  0.000  2.62
Nb  0.000  0.000  0.500  2.63
Li  0.333  0.667  0.250  -0.03
Li  0.667  0.333  0.750  -0.03

***

DFT (PBE) results for SrLiNb after structural relaxation.

## Properties
- Symmetry: P1
- Distance to the lowest polymorph of the same formula: 3.930 kcal/mol of atoms
- E_form: 486 meV per atom
- Magnetic moment: 0.0 μB per formula unit

a b c (Å): 8.274 3.468 5.797
angles (deg): 89.98 86.50 78.02
Fractional positions:
Sr  0.835  0.232  0.636
Sr  0.521  0.389  0.164
Nb  0.923  0.688  0.128
Nb  0.152  0.072  0.086
Li  0.423  0.938  0.679
Li  0.170  0.565  0.554

***

> E_form of number 2 (SrLiNb3)?

2487 meV per atom